Li3CrCl: relaxed, PBE-GGA.

Electronic total energy ... -3.04 eV/atom
Space group ... No. 221
Excess energy over the best structure of this formula in the dataset ... 537.2 meV/atom

Unit cell a=5.2460 b=5.2460 c=5.2460 alpha=90.00 beta=90.00 gamma=90.00
With the nearest neighbours (Å) after each atom.
Element x y z (fractional)
Cr (0.0000, 0.0000, 0.0000)  6 Li 2.62
Li (0.0000, 0.5000, 0.0000)  2 Cr 2.62
Li (0.0000, 0.0000, 0.5000)  2 Cr 2.62
Li (0.5000, 0.0000, 0.0000)  2 Cr 2.62
Cl (0.5000, 0.5000, 0.5000)  12 Li 3.71